# SmDyTm2Sc

Crystalline SmDyTm2Sc at its relaxed geometry (PBE-GGA, Alexandria via LeMat-Bulk).

Summary:
calculated volume: 638.8 Å³ per cell
ΔH_f (0 K): 0.335 eV per atom
theoretical density: 7.2 g/cm³
DOS(E_F): 1.19 states/eV/atom

Cell: 8.1224 11.1549 7.0499 Å, 90.00 90.00 90.00°
Last column: nearest neighbours and their distance in Å.
Space group Cmcm (No. 63)
Symmetry-distinct sites (fractional):
Sm 0.0000 0.2297 0.2500  1 Sc 2.98
Dy 0.0000 0.2312 0.7500  1 Sc 3.03
Tm 0.1964 0.0000 0.0000  2 Sc 3.03, 1 Tm 3.19
Sc 0.0000 0.4970 0.2500  1 Sm 2.98, 4 Tm 3.03, 1 Dy 3.03